# 1
Entry from the Alexandria database: CsK3Hg after structural relaxation (GGA-PBEsol).

The structure in POSCAR format:
```
CsK3Hg
1.0
8.2511 0.0000 0.0000
0.0000 8.2511 0.0000
0.0000 0.0000 8.2511
Cs K Hg
1 3 1
direct
0.0000 0.0000 0.0000
0.0000 0.0000 0.5000
0.0000 0.5000 0.0000
0.5000 0.0000 0.0000
0.5000 0.5000 0.5000
```

Symmetry ... Pm-3m (221)
V ... 112.35 Å³/atom
ΔE_f ... 418 meV per atom
Magnetization ... 0.000 Bohr magnetons per cell
Offset from the most stable computed form ... 477 meV/atom

# 2
Entry from the Alexandria database: CsLiHg3 after structural relaxation (GGA-PBEsol).

The structure in POSCAR format:
```
CsLiHg3
1.0
5.2988 0.0000 0.0000
0.0000 5.2988 0.0000
0.0000 0.0000 5.2988
Cs Li Hg
1 1 3
direct
0.0000 0.0000 0.0000
0.5000 0.5000 0.5000
0.0000 0.5000 0.5000
0.5000 0.0000 0.5000
0.5000 0.5000 0.0000
```

Symmetry ... Pm-3m (221)
V ... 29.76 Å³/atom
ΔE_f ... -189 meV per atom
Magnetization ... 0.000 Bohr magnetons per cell
Offset from the most stable computed form ... 0 meV/atom

# 3
Entry from the Alexandria database: CsLi3Hg after structural relaxation (GGA-PBEsol).

The structure in POSCAR format:
```
CsLi3Hg
1.0
5.4372 0.0000 0.0000
0.0000 5.4372 0.0000
0.0000 0.0000 5.4372
Cs Li Hg
1 3 1
direct
0.0000 0.0000 0.0000
0.0000 0.5000 0.5000
0.5000 0.0000 0.5000
0.5000 0.5000 0.0000
0.5000 0.5000 0.5000
```

Symmetry ... Pm-3m (221)
V ... 32.15 Å³/atom
ΔE_f ... -22 meV per atom
Magnetization ... 0.000 Bohr magnetons per cell

# 4
Entry from the Alexandria database: CsLiHg3 after structural relaxation (GGA-PBEsol).

The structure in POSCAR format:
```
CsLiHg3
1.0
6.5558 0.0000 0.0000
0.0000 6.5558 0.0000
0.0000 0.0000 6.5558
Cs Li Hg
1 1 3
direct
0.0000 0.0000 0.0000
0.5000 0.5000 0.5000
0.0000 0.0000 0.5000
0.0000 0.5000 0.0000
0.5000 0.0000 0.0000
```

Symmetry ... Pm-3m (221)
V ... 56.35 Å³/atom
ΔE_f ... 410 meV per atom
Magnetization ... 0.000 Bohr magnetons per cell
Offset from the most stable computed form ... 599 meV/atom

# 5
Entry from the Alexandria database: CsMgHg3 after structural relaxation (GGA-PBEsol).

The structure in POSCAR format:
```
CsMgHg3
1.0
5.5415 0.0000 0.0000
0.0000 5.5415 0.0000
0.0000 0.0000 5.5415
Cs Mg Hg
1 1 3
direct
0.0000 0.0000 0.0000
0.5000 0.5000 0.5000
0.0000 0.5000 0.5000
0.5000 0.0000 0.5000
0.5000 0.5000 0.0000
```

Symmetry ... Pm-3m (221)
V ... 34.03 Å³/atom
ΔE_f ... -129 meV per atom
Magnetization ... 0.000 Bohr magnetons per cell

# 6
Entry from the Alexandria database: CsMg2TiHg after structural relaxation (GGA-PBEsol).

The structure in POSCAR format:
```
CsMg2TiHg
1.0
6.6515 0.0000 0.0000
0.0000 6.6515 0.0000
0.0000 0.0000 5.7421
Cs Mg Ti Hg
1 2 1 1
direct
0.0000 0.0000 0.0000
0.0000 0.5000 0.0000
0.5000 0.0000 0.0000
0.0000 0.0000 0.5000
0.5000 0.5000 0.5000
```

Symmetry ... P4/mmm (123)
V ... 50.81 Å³/atom
ΔE_f ... 1644 meV per atom
Magnetization ... 4.427 Bohr magnetons per cell

# 7
Entry from the Alexandria database: CsMn3Hg after structural relaxation (GGA-PBEsol).

The structure in POSCAR format:
```
CsMn3Hg
1.0
5.2122 0.0000 0.0000
0.0000 5.2122 0.0000
0.0000 0.0000 5.2122
Cs Mn Hg
1 3 1
direct
0.0000 0.0000 0.0000
0.0000 0.5000 0.5000
0.5000 0.0000 0.5000
0.5000 0.5000 0.0000
0.5000 0.5000 0.5000
```

Symmetry ... Pm-3m (221)
V ... 28.32 Å³/atom
ΔE_f ... 1230 meV per atom
Magnetization ... 13.268 Bohr magnetons per cell

# 8
Entry from the Alexandria database: CsMnHgPd2 after structural relaxation (GGA-PBEsol).

The structure in POSCAR format:
```
CsMnHgPd2
1.0
5.1438 0.0000 0.0000
0.0000 5.1438 0.0000
0.0000 0.0000 6.1588
Cs Mn Hg Pd
1 1 1 2
direct
0.0000 0.0000 0.0000
0.5000 0.5000 0.5000
0.0000 0.0000 0.5000
0.0000 0.5000 0.0000
0.5000 0.0000 0.0000
```

Symmetry ... P4/mmm (123)
V ... 32.59 Å³/atom
ΔE_f ... 1646 meV per atom
Magnetization ... 4.845 Bohr magnetons per cell

# 9
Entry from the Alexandria database: Cs2HgMoP after structural relaxation (GGA-PBEsol).

The structure in POSCAR format:
```
Cs2HgMoP
1.0
6.9457 0.0000 0.0000
0.0000 6.9457 0.0000
0.0000 0.0000 4.7505
Cs Hg Mo P
2 1 1 1
direct
0.0000 0.5000 0.0000
0.5000 0.0000 0.0000
0.0000 0.0000 0.0000
0.5000 0.5000 0.5000
0.0000 0.0000 0.5000
```

Symmetry ... P4/mmm (123)
V ... 45.83 Å³/atom
ΔE_f ... 1145 meV per atom
Magnetization ... 5.397 Bohr magnetons per cell

# 10
Entry from the Alexandria database: CsNbHg2N after structural relaxation (GGA-PBEsol).

The structure in POSCAR format:
```
CsNbHg2N
1.0
6.0487 0.0000 0.0000
0.0000 6.0487 0.0000
0.0000 0.0000 4.2441
Cs Nb Hg N
1 1 2 1
direct
0.0000 0.0000 0.0000
0.5000 0.5000 0.5000
0.0000 0.5000 0.0000
0.5000 0.0000 0.0000
0.0000 0.0000 0.5000
```

Symmetry ... P4/mmm (123)
V ... 31.06 Å³/atom
Magnetization ... 4.400 Bohr magnetons per cell
E_form (uncorrected) ... 2093 meV per atom

# 11
Entry from the Alexandria database: CsNa2Hg2 after structural relaxation (GGA-PBEsol).

The structure in POSCAR format:
```
CsNa2Hg2
1.0
9.1900 0.0000 0.0000
0.0000 9.1900 0.0000
0.0000 0.0000 3.7689
Cs Na Hg
2 4 4
direct
0.0000 0.0000 0.0000
0.5000 0.5000 0.0000
0.1635 0.3365 0.5000
0.3365 0.8365 0.5000
0.6635 0.1635 0.5000
0.8365 0.6635 0.5000
0.1177 0.6177 0.0000
0.3823 0.1177 0.0000
0.6177 0.8823 0.0000
0.8823 0.3823 0.0000
```

Symmetry ... P4/mbm (127)
V ... 31.83 Å³/atom
ΔE_f ... -145 meV per atom
Magnetization ... 0.000 Bohr magnetons per cell
Offset from the most stable computed form ... 0 meV/atom

# 12
Entry from the Alexandria database: Cs2NaHg2 after structural relaxation (GGA-PBEsol).

The structure in POSCAR format:
```
Cs2NaHg2
1.0
8.8228 0.0000 0.0000
0.0000 8.8228 0.0000
0.0000 0.0000 5.5193
Cs Na Hg
4 2 4
direct
0.1758 0.3242 0.0000
0.3242 0.8242 0.0000
0.6758 0.1758 0.0000
0.8242 0.6758 0.0000
0.0000 0.0000 0.5000
0.5000 0.5000 0.5000
0.1216 0.6216 0.5000
0.3784 0.1216 0.5000
0.6216 0.8784 0.5000
0.8784 0.3784 0.5000
```

Symmetry ... P4/mbm (127)
V ... 42.96 Å³/atom
ΔE_f ... -164 meV per atom
Magnetization ... 0.000 Bohr magnetons per cell
Offset from the most stable computed form ... 0 meV/atom